*A*
Ho2CdSe | PBE | relaxed

a = 8.7327 Å, b = 8.7327 Å, c = 8.7327 Å
α = 25.03°, β = 25.03°, γ = 25.03°
Element x y z (fractional)
1 Ho 0.0000 0.0000 0.0000
2 Ho 0.1519 0.1519 0.1519
3 Cd 0.5764 0.5764 0.5764
4 Se 0.4087 0.4087 0.4087

## Properties
The space group is R3m, No. 160. The calculation puts the density of states at the Fermi level at 3.7 states/eV per cell. The calculation puts the total magnetization at 0.004 Bohr magnetons per cell.


*B*
Ho2CdSe | PBE | relaxed

a = 8.1055 Å, b = 8.1055 Å, c = 8.1055 Å
α = 28.05°, β = 28.05°, γ = 28.05°
Element x y z (fractional)
1 Ho 0.2409 0.2409 0.2409
2 Ho 0.7591 0.7591 0.7591
3 Cd 0.0000 0.0000 0.0000
4 Se 0.5000 0.5000 0.5000

## Properties
The space group is R-3m, No. 166. The calculation puts the density of states at the Fermi level at 2.5 states/eV per cell. The calculation puts the total magnetization at 0.000 Bohr magnetons per cell.


Most stable to least stable, the ends of the list are *B* and *A*.


*A*
Sm3Ho2Cd | PBE | relaxed

a = 6.0991 Å, b = 6.0991 Å, c = 11.3428 Å
α = 90.00°, β = 90.00°, γ = 60.08°
Element x y z (fractional)
1 Sm 0.0000 0.0000 0.0000
2 Sm 0.0000 0.0000 0.5000
3 Sm 0.3394 0.3394 0.0000
4 Sm 0.3394 0.3394 0.5000
5 Sm 0.6606 0.6606 0.0000
6 Sm 0.6606 0.6606 0.5000
7 Ho 0.0005 0.3372 0.2500
8 Ho 0.3372 0.0005 0.7500
9 Ho 0.6628 0.9995 0.2500
10 Ho 0.9995 0.6628 0.7500
11 Cd 0.3280 0.6720 0.2500
12 Cd 0.6720 0.3280 0.7500

## Properties
The space group is Cmcm, No. 63. The calculation puts the density of states at the Fermi level at 17.4 states/eV per cell. The calculation puts the total magnetization at 0.000 Bohr magnetons per cell.


*B*
Sm3Ho2Cd | PBE | relaxed

a = 3.6095 Å, b = 3.6095 Å, c = 14.2285 Å
α = 90.00°, β = 90.00°, γ = 90.00°
Element x y z (fractional)
1 Sm 0.0000 0.0000 0.0000
2 Sm 0.0000 0.0000 0.3511
3 Sm 0.0000 0.0000 0.6489
4 Ho 0.5000 0.5000 0.1754
5 Ho 0.5000 0.5000 0.8246
6 Cd 0.5000 0.5000 0.5000

## Properties
The space group is P4/mmm, No. 123. The calculation puts the density of states at the Fermi level at 7.9 states/eV per cell. The calculation puts the total magnetization at 0.000 Bohr magnetons per cell.


Most stable to least stable, the ends of the list are *B* and *A*.


*A*
Sm2Ho3Cd2 | PBE | relaxed

a = 8.5834 Å, b = 8.5834 Å, c = 8.5834 Å
α = 36.75°, β = 36.75°, γ = 36.75°
Element x y z (fractional)
1 Sm 0.0750 0.0750 0.0750
2 Sm 0.9250 0.9250 0.9250
3 Ho 0.3441 0.3441 0.3441
4 Ho 0.5000 0.5000 0.5000
5 Ho 0.6559 0.6559 0.6559
6 Cd 0.2127 0.2127 0.2127
7 Cd 0.7873 0.7873 0.7873

## Properties
The space group is R-3m, No. 166. The calculation puts the density of states at the Fermi level at 8.7 states/eV per cell. The calculation puts the total magnetization at 0.000 Bohr magnetons per cell.


*B*
Sm2Ho3Cd2 | PBE | relaxed

a = 16.4424 Å, b = 16.4424 Å, c = 3.5331 Å
α = 90.00°, β = 90.00°, γ = 167.53°
Element x y z (fractional)
1 Sm 0.2027 0.7973 0.0000
2 Sm 0.7973 0.2027 0.0000
3 Ho 0.0749 0.9251 0.0000
4 Ho 0.5000 0.5000 0.5000
5 Ho 0.9251 0.0749 0.0000
6 Cd 0.3630 0.6370 0.5000
7 Cd 0.6370 0.3630 0.5000

## Properties
The space group is Cmmm, No. 65. The calculation puts the density of states at the Fermi level at 8.2 states/eV per cell. The calculation puts the total magnetization at 0.759 Bohr magnetons per cell.


Most stable to least stable, the ends of the list are *A* and *B*.


*A*
SmHo2Cd2 | PBE | relaxed

a = 5.2188 Å, b = 5.2188 Å, c = 6.3613 Å
α = 90.00°, β = 90.00°, γ = 120.00°
Element x y z (fractional)
1 Sm 0.0000 0.0000 0.0000
2 Ho 0.3333 0.6667 0.6491
3 Ho 0.6667 0.3333 0.3509
4 Cd 0.3333 0.6667 0.1594
5 Cd 0.6667 0.3333 0.8406

## Properties
The space group is P-3m1, No. 164. The calculation puts the density of states at the Fermi level at 6.6 states/eV per cell. The calculation puts the total magnetization at 0.201 Bohr magnetons per cell.


*B*
SmHo2Cd2 | PBE | relaxed

a = 3.7235 Å, b = 5.3891 Å, c = 13.9078 Å
α = 90.00°, β = 97.69°, γ = 90.00°
Element x y z (fractional)
1 Sm 0.1495 0.2500 0.2970
2 Sm 0.8505 0.7500 0.7030
3 Ho 0.0466 0.7500 0.0923
4 Ho 0.2361 0.7500 0.4728
5 Ho 0.7639 0.2500 0.5272
6 Ho 0.9534 0.2500 0.9077
7 Cd 0.3583 0.2500 0.7175
8 Cd 0.4509 0.7500 0.9020
9 Cd 0.5491 0.2500 0.0980
10 Cd 0.6417 0.7500 0.2825

## Properties
The space group is P2_1/m, No. 11. The calculation puts the density of states at the Fermi level at 10.2 states/eV per cell. The calculation puts the total magnetization at 0.000 Bohr magnetons per cell.


Most stable to least stable, the ends of the list are *B* and *A*.


*A*
Sm3Ho4Cd | PBE | relaxed

a = 3.5813 Å, b = 3.5813 Å, c = 19.2055 Å
α = 90.00°, β = 90.00°, γ = 90.00°
Element x y z (fractional)
1 Sm 0.0000 0.0000 0.0000
2 Sm 0.0000 0.0000 0.2631
3 Sm 0.0000 0.0000 0.7369
4 Ho 0.5000 0.5000 0.1316
5 Ho 0.5000 0.5000 0.3936
6 Ho 0.5000 0.5000 0.6064
7 Ho 0.5000 0.5000 0.8684
8 Cd 0.0000 0.0000 0.5000

## Properties
The space group is P4/mmm, No. 123. The calculation puts the density of states at the Fermi level at 9.6 states/eV per cell. The calculation puts the total magnetization at 0.000 Bohr magnetons per cell.


*B*
Sm3Ho4Cd | PBE | relaxed

a = 11.2389 Å, b = 7.0578 Å, c = 6.1960 Å
α = 90.00°, β = 90.00°, γ = 90.00°
Element x y z (fractional)
1 Sm 0.0000 0.1286 0.0000
2 Sm 0.2357 0.1183 0.3537
3 Sm 0.2643 0.8817 0.8537
4 Sm 0.5000 0.8714 0.5000
5 Sm 0.7357 0.8817 0.8537
6 Sm 0.7643 0.1183 0.3537
7 Ho 0.0000 0.3864 0.5386
8 Ho 0.0000 0.6297 0.0156
9 Ho 0.2413 0.6247 0.3613
10 Ho 0.2587 0.3753 0.8613
11 Ho 0.5000 0.3703 0.5156
12 Ho 0.5000 0.6136 0.0386
13 Ho 0.7413 0.3753 0.8613
14 Ho 0.7587 0.6247 0.3613
15 Cd 0.0000 0.8668 0.5271
16 Cd 0.5000 0.1332 0.0271

## Properties
The space group is Pmn2_1, No. 31. The calculation puts the density of states at the Fermi level at 19.7 states/eV per cell. The calculation puts the total magnetization at 0.000 Bohr magnetons per cell.


Most stable to least stable, the ends of the list are *A* and *B*.


*A*
Sm3HoCd | PBE | relaxed

a = 11.1829 Å, b = 11.1829 Å, c = 8.3987 Å
α = 107.26°, β = 107.26°, γ = 18.32°
Element x y z (fractional)
1 Sm 0.0144 0.0144 0.2339
2 Sm 0.1754 0.1754 0.4447
3 Sm 0.3793 0.3793 0.9551
4 Sm 0.6207 0.6207 0.0449
5 Sm 0.8246 0.8246 0.5553
6 Sm 0.9856 0.9856 0.7661
7 Ho 0.2678 0.2678 0.1811
8 Ho 0.7322 0.7322 0.8189
9 Cd 0.4220 0.4220 0.3990
10 Cd 0.5780 0.5780 0.6010

## Properties
The space group is C2/m, No. 12. The calculation puts the density of states at the Fermi level at 13.7 states/eV per cell. The calculation puts the total magnetization at 0.000 Bohr magnetons per cell.


*B*
Sm3HoCd | PBE | relaxed

a = 9.9322 Å, b = 9.9322 Å, c = 6.5036 Å
α = 100.49°, β = 100.49°, γ = 82.50°
Element x y z (fractional)
1 Sm 0.0330 0.1694 0.4676
2 Sm 0.1258 0.4982 0.3667
3 Sm 0.1694 0.0330 0.9676
4 Sm 0.2276 0.3712 0.8607
5 Sm 0.3712 0.2276 0.3607
6 Sm 0.4982 0.1258 0.8667
7 Sm 0.5018 0.8742 0.1333
8 Sm 0.6288 0.7724 0.6393
9 Sm 0.7724 0.6288 0.1393
10 Sm 0.8306 0.9670 0.0324
11 Sm 0.8742 0.5018 0.6333
12 Sm 0.9670 0.8306 0.5324
13 Ho 0.1026 0.7086 0.0216
14 Ho 0.2914 0.8974 0.4784
15 Ho 0.7086 0.1026 0.5216
16 Ho 0.8974 0.2914 0.9784
17 Cd 0.3497 0.6503 0.7500
18 Cd 0.4176 0.5824 0.2500
19 Cd 0.5824 0.4176 0.7500
20 Cd 0.6503 0.3497 0.2500

## Properties
The space group is C2/c, No. 15. The calculation puts the density of states at the Fermi level at 27.7 states/eV per cell. The calculation puts the total magnetization at 0.000 Bohr magnetons per cell.


Most stable to least stable, the ends of the list are *B* and *A*.


*A*
SmHo3Cd | PBE | relaxed

a = 6.7253 Å, b = 6.7253 Å, c = 12.5833 Å
α = 93.38°, β = 93.38°, γ = 31.61°
Element x y z (fractional)
1 Sm 0.2333 0.2333 0.2535
2 Sm 0.7667 0.7667 0.7465
3 Ho 0.0357 0.0357 0.6888
4 Ho 0.1463 0.1463 0.9475
5 Ho 0.3661 0.3661 0.5223
6 Ho 0.6339 0.6339 0.4777
7 Ho 0.8537 0.8537 0.0525
8 Ho 0.9643 0.9643 0.3112
9 Cd 0.4451 0.4451 0.8738
10 Cd 0.5549 0.5549 0.1262

## Properties
The space group is C2/m, No. 12. The calculation puts the density of states at the Fermi level at 14.1 states/eV per cell. The calculation puts the total magnetization at 0.013 Bohr magnetons per cell.


*B*
SmHo3Cd | PBE | relaxed

a = 3.7696 Å, b = 8.0792 Å, c = 10.4771 Å
α = 90.00°, β = 100.34°, γ = 90.00°
Element x y z (fractional)
1 Sm 0.0198 0.2500 0.0390
2 Sm 0.9802 0.7500 0.9610
3 Ho 0.1902 0.2500 0.3812
4 Ho 0.3996 0.0381 0.7988
5 Ho 0.3996 0.4619 0.7988
6 Ho 0.6004 0.5381 0.2012
7 Ho 0.6004 0.9619 0.2012
8 Ho 0.8098 0.7500 0.6188
9 Cd 0.1901 0.7500 0.3803
10 Cd 0.8099 0.2500 0.6197

## Properties
The space group is P2_1/m, No. 11. The calculation puts the density of states at the Fermi level at 15.6 states/eV per cell. The calculation puts the total magnetization at 0.002 Bohr magnetons per cell.


Most stable to least stable, the ends of the list are *A* and *B*.


*A*
Sm6HoCd | PBE | relaxed

a = 4.9792 Å, b = 4.9792 Å, c = 10.1761 Å
α = 90.00°, β = 90.00°, γ = 90.00°
Element x y z (fractional)
1 Sm 0.0000 0.0000 0.0000
2 Sm 0.0000 0.0000 0.5000
3 Sm 0.0000 0.5000 0.2452
4 Sm 0.0000 0.5000 0.7548
5 Sm 0.5000 0.0000 0.2452
6 Sm 0.5000 0.0000 0.7548
7 Ho 0.5000 0.5000 0.5000
8 Cd 0.5000 0.5000 0.0000

## Properties
The space group is P4/mmm, No. 123. The calculation puts the density of states at the Fermi level at 10.8 states/eV per cell. The calculation puts the total magnetization at 0.000 Bohr magnetons per cell.


*B*
Sm6HoCd | PBE | relaxed

a = 6.3992 Å, b = 6.4000 Å, c = 6.4025 Å
α = 94.90°, β = 94.76°, γ = 94.85°
Element x y z (fractional)
1 Sm 0.0437 0.0484 0.2591
2 Sm 0.2407 0.4565 0.9511
3 Sm 0.4516 0.7409 0.4559
4 Sm 0.5484 0.2591 0.5441
5 Sm 0.7593 0.5435 0.0489
6 Sm 0.9563 0.9516 0.7409
7 Ho 0.5000 0.0000 0.0000
8 Cd 0.0000 0.5000 0.5000

## Properties
The space group is P-1, No. 2. The calculation puts the density of states at the Fermi level at 11.7 states/eV per cell. The calculation puts the total magnetization at 0.000 Bohr magnetons per cell.


Most stable to least stable, the ends of the list are *A* and *B*.